A | DFT (GGA-PBE) results for crystalline TcSn3S at its relaxed geometry.

The structure in CIF format:
```
data_TcSn3S
_cell_length_a 5.120
_cell_length_b 5.120
_cell_length_c 5.120
_cell_angle_alpha 90.00
_cell_angle_beta 90.00
_cell_angle_gamma 90.00
_space_group_name_H-M_alt 'P m -3 m'
_space_group_IT_number 221
_space_group_name_Hall '-P 4 2 3'
loop_
_atom_site_label
_atom_site_fract_x
_atom_site_fract_y
_atom_site_fract_z
Tc1 0.000 0.000 0.000
Sn1 0.000 0.000 0.500
S1 0.500 0.500 0.500
```

Calculated values
Its magnetic moment is 0.000 μB/f.u.

***

B | DFT (GGA-PBE) results for crystalline TcSn3S at its relaxed geometry.

The structure in CIF format:
```
data_TcSn3S
_cell_length_a 5.174
_cell_length_b 5.174
_cell_length_c 5.174
_cell_angle_alpha 90.00
_cell_angle_beta 90.00
_cell_angle_gamma 90.00
_space_group_name_H-M_alt 'P m -3 m'
_space_group_IT_number 221
_space_group_name_Hall '-P 4 2 3'
loop_
_atom_site_label
_atom_site_fract_x
_atom_site_fract_y
_atom_site_fract_z
Tc1 0.000 0.000 0.000
Sn1 0.000 0.500 0.500
S1 0.500 0.500 0.500
```

Calculated values
Its magnetic moment is 3.281 μB/f.u.

***

Stability check: which of them is most stable? A.

***

A | DFT (GGA-PBE) results for crystalline Tc2SnS at its relaxed geometry.

The structure in CIF format:
```
data_Tc2SnS
_cell_length_a 5.908
_cell_length_b 5.908
_cell_length_c 9.813
_cell_angle_alpha 90.00
_cell_angle_beta 90.00
_cell_angle_gamma 90.00
_space_group_name_H-M_alt 'I -4 2 d'
_space_group_IT_number 122
_space_group_name_Hall 'I -4 2bw'
loop_
_atom_site_label
_atom_site_fract_x
_atom_site_fract_y
_atom_site_fract_z
Tc1 0.188 0.250 0.125
Sn1 0.000 0.000 0.500
S1 0.000 0.000 0.000
```

Calculated values
Its magnetic moment is 0.000 μB/f.u.

***

B | DFT (GGA-PBE) results for crystalline Tc2SnS at its relaxed geometry.

The structure in CIF format:
```
data_Tc2SnS
_cell_length_a 6.311
_cell_length_b 6.311
_cell_length_c 6.311
_cell_angle_alpha 90.00
_cell_angle_beta 90.00
_cell_angle_gamma 90.00
_space_group_name_H-M_alt 'F m -3 m'
_space_group_IT_number 225
_space_group_name_Hall '-F 4 2 3'
loop_
_atom_site_label
_atom_site_fract_x
_atom_site_fract_y
_atom_site_fract_z
Tc1 0.250 0.250 0.250
Sn1 0.000 0.000 0.000
S1 0.000 0.000 0.500
```

Calculated values
Its magnetic moment is 0.000 μB/f.u.

***

Stability check: which of them is most stable? B.

***

A | DFT (GGA-PBE) results for crystalline Tc3SnS at its relaxed geometry.

The structure in CIF format:
```
data_Tc3SnS
_cell_length_a 4.389
_cell_length_b 4.389
_cell_length_c 4.389
_cell_angle_alpha 90.00
_cell_angle_beta 90.00
_cell_angle_gamma 90.00
_space_group_name_H-M_alt 'P m -3 m'
_space_group_IT_number 221
_space_group_name_Hall '-P 4 2 3'
loop_
_atom_site_label
_atom_site_fract_x
_atom_site_fract_y
_atom_site_fract_z
Tc1 0.000 0.000 0.500
Sn1 0.500 0.500 0.500
S1 0.000 0.000 0.000
```

Calculated values
Its magnetic moment is 0.734 μB/f.u.

***

B | DFT (GGA-PBE) results for crystalline Tc3SnS at its relaxed geometry.

The structure in CIF format:
```
data_Tc3SnS
_cell_length_a 4.876
_cell_length_b 4.876
_cell_length_c 4.876
_cell_angle_alpha 90.00
_cell_angle_beta 90.00
_cell_angle_gamma 90.00
_space_group_name_H-M_alt 'P m -3 m'
_space_group_IT_number 221
_space_group_name_Hall '-P 4 2 3'
loop_
_atom_site_label
_atom_site_fract_x
_atom_site_fract_y
_atom_site_fract_z
Tc1 0.000 0.000 0.500
Sn1 0.000 0.000 0.000
S1 0.500 0.500 0.500
```

Calculated values
Its magnetic moment is 0.000 μB/f.u.

***

Stability check: which of them is most stable? A.

***

A | DFT (GGA-PBE) results for crystalline SnTeS3 at its relaxed geometry.

The structure in CIF format:
```
data_SnTeS3
_cell_length_a 5.957
_cell_length_b 5.464
_cell_length_c 8.879
_cell_angle_alpha 90.00
_cell_angle_beta 96.52
_cell_angle_gamma 90.00
_space_group_name_H-M_alt 'P 1 21/m 1'
_space_group_IT_number 11
loop_
_space_group_symop_operation_xyz
'x,y,z'
'-x,-y,-z'
'-x,y+1/2,-z'
'x,-y+1/2,z'
loop_
_atom_site_label
_atom_site_fract_x
_atom_site_fract_y
_atom_site_fract_z
Sn1 0.227 0.250 0.444
Te1 0.473 0.750 0.152
S1 0.148 0.250 0.739
S2 0.342 0.750 0.432
S3 0.390 0.250 0.123
```

Calculated values
Its magnetic moment is 0.000 μB/f.u.

***

B | DFT (GGA-PBE) results for crystalline SnTeS3 at its relaxed geometry.

The structure in CIF format:
```
data_SnTeS3
_cell_length_a 5.049
_cell_length_b 5.049
_cell_length_c 5.049
_cell_angle_alpha 90.00
_cell_angle_beta 90.00
_cell_angle_gamma 90.00
_space_group_name_H-M_alt 'P m -3 m'
_space_group_IT_number 221
_space_group_name_Hall '-P 4 2 3'
loop_
_atom_site_label
_atom_site_fract_x
_atom_site_fract_y
_atom_site_fract_z
Sn1 0.000 0.000 0.000
Te1 0.500 0.500 0.500
S1 0.000 0.500 0.500
```

Calculated values
Its magnetic moment is 0.000 μB/f.u.

***

Stability check: which of them is most stable? A.